# AgMoO2 | the Alexandria database | PBE with a Hubbard U | optimized geometry
# **Crystal system**: cubic
# **Calculated total energy**: -5.121 eV/atom
# **Magnetic moment**: 3.00 μB/f.u.
data_AgMoO2
_chemical_formula_sum 'Ag4 Mo4 O8'
_symmetry_space_group_name_H-M 'F m -3 m'
_symmetry_Int_Tables_number 225
_symmetry_space_group_name_Hall '-F 4 2 3'
_cell_length_a 5.7840
_cell_length_b 5.7840
_cell_length_c 5.7840
_cell_angle_alpha 90.00
_cell_angle_beta 90.00
_cell_angle_gamma 90.00
loop_
_atom_site_label
_atom_site_fract_x
_atom_site_fract_y
_atom_site_fract_z
Ag1 0.0000 0.0000 0.0000
Mo1 0.0000 0.0000 0.5000
O1 0.2500 0.2500 0.2500